1.
VASP calculation (PBE) on a relaxed structure of NbSb2Br2.

Cell and atoms, written as extended XYZ:
```
10
Lattice="3.9290 0.0000 0.0000 0.0000 3.9290 0.0000 0.0000 0.0000 23.0255" Properties=species:S:1:pos:R:3 pbc="T T T"
Nb 0.0000 0.0000 0.0000
Nb 1.9645 1.9645 11.5128
Sb 0.0000 1.9645 5.7564
Sb 0.0000 1.9645 17.2691
Sb 1.9645 0.0000 5.7564
Sb 1.9645 0.0000 17.2691
Br 0.0000 0.0000 9.9269
Br 0.0000 0.0000 13.0986
Br 1.9645 1.9645 1.5858
Br 1.9645 1.9645 21.4397
```

Output
Symmetry   I4/mmm (139)
Offset from the most stable computed form   0.229 eV per atom
Formation energy from raw total energies   0.465 eV per atom
Density of states at the Fermi level   4.67 states/eV/f.u.



2.
VASP calculation (PBE) on a relaxed structure of Ca5HS4.

Cell and atoms, written as extended XYZ:
```
10
Lattice="-2.0056 2.8048 9.9210 2.0056 -2.8048 9.9210 2.0056 2.8048 -9.9210" Properties=species:S:1:pos:R:3 pbc="T T T"
Ca 0.0000 0.0000 0.0000
Ca 0.0000 0.0000 3.9839
Ca 0.0000 0.0000 7.9321
Ca 0.0000 0.0000 11.9099
Ca 0.0000 0.0000 15.8580
H 0.0000 2.8048 0.0000
S 2.0056 0.0000 1.9421
S 2.0056 0.0000 6.0160
S 0.0000 2.8048 3.9050
S 0.0000 2.8048 7.9789
```

Output
Symmetry   Immm (71)
Energy   -4.710 eV/atom
Density of states at the Fermi level   2.75 states/eV/f.u.



3.
VASP calculation (PBE) on a relaxed structure of LiTeN2O.

Cell and atoms, written as extended XYZ:
```
5
Lattice="3.4098 0.0000 0.0000 0.0000 3.4098 0.0000 0.0000 0.0000 5.1606" Properties=species:S:1:pos:R:3 pbc="T T T"
Li 0.0000 0.0000 0.0000
Te 0.0000 0.0000 2.5803
N 0.0000 1.7049 0.0000
N 1.7049 0.0000 0.0000
O 1.7049 1.7049 2.5803
```

Output
Symmetry   P4/mmm (123)
Formation energy from raw total energies   1.597 eV per atom
Density of states at the Fermi level   3.15 states/eV/f.u.



4.
VASP calculation (PBE) on a relaxed structure of YVCu.

Cell and atoms, written as extended XYZ:
```
6
Lattice="3.2146 0.0000 0.0000 0.6921 5.0039 0.0000 0.1463 0.2439 7.1539" Properties=species:S:1:pos:R:3 pbc="T T T"
Y 0.0000 0.0000 0.0000
Y 0.8302 2.6976 4.8911
V 1.6193 2.3467 1.2842
V 2.4994 3.7493 2.3911
Cu 2.4506 5.0676 4.6314
Cu 3.1948 0.9336 2.8059
```

Output
Symmetry   P1 (1)
DFT formation energy   0.701 eV per formula unit
Offset from the most stable computed form   0.151 eV per atom
Density of states at the Fermi level   2.78 states/eV/f.u.



5.
VASP calculation (PBE) on a relaxed structure of Tm6Tl3Co.

Cell and atoms, written as extended XYZ:
```
20
Lattice="5.9505 0.0000 0.0000 0.0000 8.7335 0.0000 -5.7535 0.0000 10.4894" Properties=species:S:1:pos:R:3 pbc="T T T"
Tm -2.1609 1.3461 4.6204
Tm -5.0377 3.0206 9.8651
Tm -0.4802 6.1994 4.5206
Tm -3.3569 6.9008 9.7653
Tm 0.8113 0.5102 2.9094
Tm -2.0655 3.8565 8.1541
Tm 2.2625 4.8770 2.3353
Tm -0.6142 8.2232 7.5800
Tm 3.5540 1.8327 0.7241
Tm 0.6772 2.5341 5.9688
Tm 5.2347 5.7128 0.6243
Tm 2.3580 7.3874 5.8690
Tl 0.0000 0.0000 0.0000
Tl -2.8767 4.3667 5.2447
Tl -3.3585 0.9392 8.0687
Tl -0.4818 3.4276 2.8240
Tl 0.6788 5.3059 7.6654
Tl 3.5556 7.7943 2.4207
Co 0.0985 0.0000 5.2447
Co 2.9753 4.3667 0.0000
```

Output
Symmetry   P2_1/c (14)
DFT formation energy   -1.889 eV per formula unit
Density of states at the Fermi level   10.34 states/eV/f.u.



6.
VASP calculation (PBE) on a relaxed structure of InSi2Pt.

Cell and atoms, written as extended XYZ:
```
4
Lattice="3.4900 0.0000 0.0000 0.0000 3.5613 0.0000 -1.7179 0.0000 5.9757" Properties=species:S:1:pos:R:3 pbc="T T T"
In 0.0000 0.0000 0.0000
Si -0.0015 1.7807 3.2361
Si 1.7416 0.0000 3.2466
Pt 1.7426 1.7807 1.4067
```

Output
Symmetry   Pm (6)
Formation energy from raw total energies   -0.080 eV per atom
Density of states at the Fermi level   1.35 states/eV/f.u.



7.
VASP calculation (PBE) on a relaxed structure of KCa2Ir.

Cell and atoms, written as extended XYZ:
```
8
Lattice="7.4698 0.0000 0.0000 0.0000 4.3010 0.0000 -2.5784 0.0000 9.7637" Properties=species:S:1:pos:R:3 pbc="T T T"
K 0.0000 0.0000 0.0000
K 3.7349 2.1505 0.0000
Ca -0.0831 0.0000 6.2600
Ca 2.4127 0.0000 3.5807
Ca 3.6518 2.1505 6.2600
Ca 6.1476 2.1505 3.5807
Ir 1.1641 2.1505 4.9264
Ir 4.8990 0.0000 4.9264
```

Output
Symmetry   Cm (8)
DFT formation energy   -0.099 eV per formula unit
Offset from the most stable computed form   0.067 eV per atom
Density of states at the Fermi level   2.03 states/eV/f.u.



8.
VASP calculation (PBE) on a relaxed structure of PrNdTlZn.

Cell and atoms, written as extended XYZ:
```
4
Lattice="3.7782 0.0000 0.0000 0.0000 3.7782 0.0000 0.0000 0.0000 7.7818" Properties=species:S:1:pos:R:3 pbc="T T T"
Pr 0.0000 0.0000 0.0000
Nd 0.0000 0.0000 4.2412
Tl 1.8891 1.8891 2.1431
Zn 1.8891 1.8891 5.9831
```

Output
Symmetry   P4mm (99)
DFT formation energy   -1.395 eV per formula unit
Offset from the most stable computed form   0.000 eV per atom
Density of states at the Fermi level   3.66 states/eV/f.u.



9.
VASP calculation (PBE) on a relaxed structure of BaPt2Au.

Cell and atoms, written as extended XYZ:
```
8
Lattice="4.4228 0.0000 0.0000 0.0000 4.4228 0.0000 0.0000 0.0000 8.9994" Properties=species:S:1:pos:R:3 pbc="T T T"
Ba 0.0000 0.0000 0.0000
Ba 2.2114 2.2114 4.4997
Pt 0.0000 2.2114 2.2499
Pt 0.0000 2.2114 6.7496
Pt 2.2114 0.0000 2.2499
Pt 2.2114 0.0000 6.7496
Au 0.0000 0.0000 4.4997
Au 2.2114 2.2114 0.0000
```

Output
Symmetry   I4/mmm (139)
DFT formation energy   -0.300 eV per formula unit
Offset from the most stable computed form   0.474 eV per atom
Density of states at the Fermi level   2.47 states/eV/f.u.



10.
VASP calculation (PBE) on a relaxed structure of Ba2TmGaTe5.

Cell and atoms, written as extended XYZ:
```
18
Lattice="2.2459 -10.2865 0.0000 2.2459 10.2865 0.0000 0.0000 0.0000 14.2172" Properties=species:S:1:pos:R:3 pbc="T T T"
Ba 2.2459 7.7689 7.1086
Ba 2.2459 7.6865 1.9215
Ba 2.2459 -7.6865 9.0301
Ba 2.2459 -7.7689 0.0000
Tm 2.2459 6.0517 11.9056
Tm 2.2459 -6.0517 4.7970
Ga 2.2459 1.2797 3.4686
Ga 2.2459 -1.2797 10.5772
Te 2.2459 9.2608 12.1404
Te 2.2459 4.2135 6.8276
Te 2.2459 3.8747 2.6401
Te 2.2459 3.0879 11.6444
Te 2.2459 0.0081 1.1867
Te 2.2459 -0.0081 8.2953
Te 2.2459 -3.0879 4.5358
Te 2.2459 -3.8747 9.7487
Te 2.2459 -4.2135 13.9362
Te 2.2459 -9.2608 5.0318
```

Output
Symmetry   Cmc2_1 (36)
Formation energy from raw total energies   -1.288 eV per atom



11.
VASP calculation (PBE) on a relaxed structure of HfSbPb3.

Cell and atoms, written as extended XYZ:
```
5
Lattice="5.6503 0.0000 0.0000 0.0000 5.6503 0.0000 0.0000 0.0000 5.6503" Properties=species:S:1:pos:R:3 pbc="T T T"
Hf 0.0000 0.0000 0.0000
Sb 2.8252 2.8252 2.8252
Pb 0.0000 0.0000 2.8252
Pb 0.0000 2.8252 0.0000
Pb 2.8252 0.0000 0.0000
```

Output
Symmetry   Pm-3m (221)
Offset from the most stable computed form   0.000 eV per atom
Formation energy from raw total energies   0.559 eV per atom
Density of states at the Fermi level   3.89 states/eV/f.u.



12.
VASP calculation (PBE) on a relaxed structure of La3Al7Ir4.

Cell and atoms, written as extended XYZ:
```
14
Lattice="7.9326 -2.1525 0.0000 7.9326 2.1525 0.0000 -5.5295 0.0000 7.9545" Properties=species:S:1:pos:R:3 pbc="T T T"
La 0.0000 0.0000 0.0000
La 3.2221 0.0000 2.3788
La 7.1137 0.0000 5.5757
Al -2.7648 0.0000 3.9773
Al 0.1796 0.0000 3.3794
Al -0.3747 0.0000 7.7842
Al 3.9298 0.0000 5.6334
Al 6.4060 0.0000 2.3212
Al 10.7104 0.0000 0.1703
Al 10.1561 0.0000 4.5751
Ir -2.8539 0.0000 6.6335
Ir 1.4195 0.0000 5.6962
Ir 8.9163 0.0000 2.2584
Ir 13.1896 0.0000 1.3210
```

Output
Symmetry   C2/m (12)
DFT formation energy   -10.914 eV per formula unit
Density of states at the Fermi level   7.48 states/eV/f.u.



Spin magnetization: 5.9, 0.0, 0.5, 0.0, 0.0, 0.0, 0.0, 0.0, 0.0, 0.0, 0.0, 0.0 (μB/cell)
Density: 4.6, 2.5, 4.9, 5.9, 10.3, 8.2, 3.3, 8.3, 13.7, 5.8, 8.5, 8.4 (g cm⁻³)